Material: LiTbZnTe3
Method: DFT, PBE
State: relaxed

Geometry as POSCAR:
```
LiTbZnTe3
1.0
-6.9308 -2.0843 7.5285
-8.8386 -3.7193 4.1357
5.2215 -6.6327 0.2601
Li Tb Te Zn
2 2 6 2
Direct
0.8935 0.8935 0.4183 Li
0.1065 0.1065 0.5817 Li
0.1722 0.1722 0.0797 Tb
0.8278 0.8278 0.9203 Tb
0.0000 0.0000 0.0000 Te
0.3262 0.3262 0.1797 Te
0.6735 0.6735 0.3438 Te
0.5000 0.5000 0.5000 Te
0.3265 0.3265 0.6562 Te
0.6738 0.6738 0.8203 Te
0.5442 0.5442 0.2268 Zn
0.4558 0.4558 0.7732 Zn
```

Results
**Energy**: -44.8 eV for the cell shown
**Polymorph energy (0 for the lowest one)**: 107.0 meV per atom
**Space-group type**: C2/m (12)


Material: NaPrCdSe3
Method: DFT, PBE
State: relaxed

Geometry as POSCAR:
```
NaPrCdSe3
1.0
-7.0867 -0.7149 -1.1624
-6.4984 -0.7052 3.0590
-1.1678 11.3538 0.1366
Cd Na Pr Se
2 2 2 6
Direct
0.4691 0.4691 0.2500 Cd
0.5309 0.5309 0.7500 Cd
0.7562 0.7562 0.2500 Na
0.2438 0.2438 0.7500 Na
0.0000 0.0000 0.0000 Pr
0.0000 0.0000 0.5000 Pr
0.3571 0.3571 0.0649 Se
0.0895 0.0895 0.2500 Se
0.3571 0.3571 0.4351 Se
0.6429 0.6429 0.5649 Se
0.9105 0.9105 0.7500 Se
0.6429 0.6429 0.9351 Se
```

Results
**Energy**: -49.7 eV for the cell shown
**Polymorph energy (0 for the lowest one)**: 20.4 meV per atom
**Space-group type**: Cmcm (63)


Material: MgCdSO
Method: DFT, PBE
State: relaxed

Geometry as POSCAR:
```
MgCdSO
1.0
-0.7317 -3.4262 1.2504
2.1078 0.6436 2.9968
-7.8635 3.4291 4.7943
Cd Mg O S
2 2 2 2
Direct
0.7500 0.2500 0.0000 Cd
0.2500 0.7500 0.0000 Cd
0.7500 0.7500 0.3723 Mg
0.2500 0.2500 0.6277 Mg
0.2500 0.2500 0.4329 O
0.7500 0.7500 0.5671 O
0.2500 0.2500 0.2506 S
0.7500 0.7500 0.7494 S
```

Results
**Energy**: -27.7 eV for the cell shown
**Polymorph energy (0 for the lowest one)**: 927.1 meV per atom
**Space-group type**: P4/nmm (129)


Material: In2Au2O5
Method: DFT, PBE
State: relaxed

Geometry as POSCAR:
```
In2Au2O5
1.0
8.5357 0.0000 0.0000
0.0000 3.8679 0.0000
0.0000 0.0000 3.8679
Au In O
2 2 5
Direct
0.0000 0.0000 0.0000 Au
0.5000 0.0000 0.0000 Au
0.2553 0.5000 0.5000 In
0.7447 0.5000 0.5000 In
0.1532 0.5000 0.0000 O
0.8468 0.5000 0.0000 O
0.1532 0.0000 0.5000 O
0.8468 0.0000 0.5000 O
0.5000 0.5000 0.5000 O
```

Results
**Energy**: -40.5 eV for the cell shown
**Polymorph energy (0 for the lowest one)**: 0.0 meV per atom
**Space-group type**: P4/mmm (123)


Material: PmBiAs
Method: DFT, PBE
State: relaxed

Geometry as POSCAR:
```
PmBiAs
1.0
2.1941 -3.0195 -3.5467
0.3019 -5.0812 0.7753
-2.8965 -3.2078 -2.7984
As Bi Pm
1 1 1
Direct
0.2500 0.2500 0.2500 As
0.0000 0.0000 0.0000 Bi
0.7500 0.7500 0.7500 Pm
```

Results
**Energy**: -13.8 eV for the cell shown
**Space-group type**: F-43m (216)


Material: CuAgI
Method: DFT, PBE
State: relaxed

Geometry as POSCAR:
```
CuAgI
1.0
0.0000 3.3510 3.3510
3.3510 0.0000 3.3510
3.3510 3.3510 0.0000
Ag Cu I
1 1 1
Direct
0.7500 0.7500 0.7500 Ag
0.5000 0.5000 0.5000 Cu
0.0000 0.0000 0.0000 I
```

Results
**Energy**: -6.7 eV for the cell shown
**Space-group type**: F-43m (216)


Material: ZrAgSn
Method: DFT, PBE
State: relaxed

Geometry as POSCAR:
```
ZrAgSn
1.0
0.0000 3.3653 3.3653
3.3653 0.0000 3.3653
3.3653 3.3653 0.0000
Ag Sn Zr
1 1 1
Direct
0.0000 0.0000 0.0000 Ag
0.5000 0.5000 0.5000 Sn
0.2500 0.2500 0.2500 Zr
```

Results
**Energy**: -15.0 eV for the cell shown
**Space-group type**: F-43m (216)


Material: Dy2SiPt
Method: DFT, PBE
State: relaxed

Geometry as POSCAR:
```
Dy2SiPt
1.0
-1.0222 -3.9151 -1.0466
3.8987 0.6699 -6.3134
4.6773 -1.9384 2.6827
Dy Pt Si
4 2 2
Direct
0.5000 0.9152 0.1301 Dy
0.5000 0.4373 0.3663 Dy
0.0000 0.0848 0.6301 Dy
0.0000 0.5627 0.8663 Dy
0.0000 0.7108 0.3662 Pt
0.5000 0.2892 0.8662 Pt
0.0000 0.2031 0.1373 Si
0.5000 0.7969 0.6373 Si
```

Results
**Energy**: -49.5 eV for the cell shown
**Space-group type**: Pmn2_1 (31)


Material: MgPaBi2
Method: DFT, PBE
State: relaxed

Geometry as POSCAR:
```
MgPaBi2
1.0
-2.8853 1.0463 4.0920
2.2587 -3.8053 2.5656
2.8535 2.6018 1.3468
Bi Mg Pa
2 1 1
Direct
0.5000 0.0000 0.0000 Bi
0.0000 0.5000 0.0000 Bi
0.0000 0.0000 0.5000 Mg
0.5000 0.5000 0.5000 Pa
```

Results
**Energy**: -20.0 eV for the cell shown
**Space-group type**: P4/mmm (123)


Material: CsDyTeS
Method: DFT, PBE
State: relaxed

Geometry as POSCAR:
```
CsDyTeS
1.0
4.2975 0.0000 0.0000
-2.1488 3.7218 0.0000
0.0000 0.0000 17.0515
Cs Dy S Te
2 2 2 2
Direct
0.6667 0.3333 0.2588 Cs
0.3333 0.6667 0.7588 Cs
0.0000 0.0000 0.4874 Dy
0.0000 0.0000 0.9874 Dy
0.3333 0.6667 0.4088 S
0.6667 0.3333 0.9088 S
0.3333 0.6667 0.0950 Te
0.6667 0.3333 0.5950 Te
```

Results
**Energy**: -38.1 eV for the cell shown
**Space-group type**: P6_3mc (186)


Material: GaB2Mo
Method: DFT, PBE
State: relaxed

Geometry as POSCAR:
```
GaB2Mo
1.0
0.0000 2.8483 2.8483
2.8483 0.0000 2.8483
2.8483 2.8483 0.0000
B Ga Mo
2 1 1
Direct
0.5000 0.5000 0.5000 B
0.7500 0.7500 0.7500 B
0.2500 0.2500 0.2500 Ga
0.0000 0.0000 0.0000 Mo
```

Results
**Energy**: -21.6 eV for the cell shown
**Space-group type**: F-43m (216)


Material: TaZnNiAs
Method: DFT, PBE
State: relaxed

Geometry as POSCAR:
```
TaZnNiAs
1.0
0.0000 3.0911 3.0911
3.0911 0.0000 3.0911
3.0911 3.0911 0.0000
As Ni Ta Zn
1 1 1 1
Direct
0.0000 0.0000 0.0000 As
0.7500 0.7500 0.7500 Ni
0.2500 0.2500 0.2500 Ta
0.5000 0.5000 0.5000 Zn
```

Results
**Energy**: -22.9 eV for the cell shown
**Space-group type**: F-43m (216)